Entry 1:
## LaNd3Se7 (GGA-PBE)

Data for crystalline LaNd3Se7 at its relaxed geometry.

For the total energy, the calculation gives -5.574 eV per atom. The calculation puts the size of the total moment at 0.006 Bohr magnetons per cell.

It has space group Amm2 (No. 38), with a = 10.686 Å, b = 4.382 Å, c = 13.936 Å, α = 90.00°, β = 90.00° and γ = 90.00°. The asymmetric unit holds La at (0.000, 0.000, 0.000), Nd at (0.241, 0.000, 0.273), Nd at (0.500, 0.000, 0.989), Se at (0.000, 0.000, 0.362), Se at (0.000, 0.000, 0.652), Se at (0.249, 0.000, 0.911), Se at (0.385, 0.000, 0.632) and Se at (0.500, 0.000, 0.346).

***

Entry 2:
## SrMoW (GGA-PBE)

Data for crystalline SrMoW at its relaxed geometry.

For the total energy, the calculation gives -7.046 eV per atom. The calculation puts the excess energy over the best structure of this formula in the dataset at 0 meV per atom. The calculation puts the size of the total moment at 1.204 Bohr magnetons per cell.

It has space group P-6m2 (No. 187), with a = 5.0876 Å, b = 5.0876 Å, c = 8.3766 Å, α = 90.00°, β = 90.00° and γ = 120.00°. The asymmetric unit holds Sr at (0.0000, 0.0000, 0.0000), Sr at (0.3333, 0.6667, 0.3244), Mo at (0.0000, 0.0000, 0.3648), Mo at (0.3333, 0.6667, 0.0000), W at (0.6667, 0.3333, 0.1626) and W at (0.6667, 0.3333, 0.5000).

***

Entry 3:
## HgO4 (GGA-PBE)

Data for crystalline HgO4 at its relaxed geometry.

For the total energy, the calculation gives -3.592 eV per atom.

It has space group C2/m (No. 12), with a = 8.701 Å, b = 3.160 Å, c = 5.866 Å, α = 90.00°, β = 121.90° and γ = 90.00°. The asymmetric unit holds Hg at (0.000, 0.000, 0.000), O at (0.070, 0.000, 0.497) and O at (0.175, 0.500, 0.084).

***

Entry 4:
## SmAlFe (GGA-PBE)

Data for crystalline SmAlFe at its relaxed geometry.

For the total energy, the calculation gives -4.715 eV per atom. The calculation puts the size of the total moment at 9.642 Bohr magnetons per cell.

It has space group F-43m (No. 216), with a = 6.671 Å, b = 6.671 Å, c = 6.671 Å, α = 90.00°, β = 90.00° and γ = 90.00°. The asymmetric unit holds Sm at (0.000, 0.000, 0.000), Al at (0.250, 0.250, 0.750) and Fe at (0.250, 0.250, 0.250).

***

Entry 5:
## GdDy2TmPd4 (GGA-PBE)

Data for crystalline GdDy2TmPd4 at its relaxed geometry.

For the total energy, the calculation gives -5.777 eV per atom. The calculation puts the size of the total moment at 0.001 Bohr magnetons per cell. The formation energy comes out at -0.898 eV per atom.

It has space group P4/mmm (No. 123), with a = 4.938 Å, b = 4.938 Å, c = 6.983 Å, α = 90.00°, β = 90.00° and γ = 90.00°. The asymmetric unit holds Gd at (0.000, 0.000, 0.000), Dy at (0.000, 0.000, 0.500), Dy at (0.500, 0.500, 0.000), Tm at (0.500, 0.500, 0.500) and Pd at (0.000, 0.500, 0.254).

***

Entry 6:
## SrPmIr (GGA-PBE)

Data for crystalline SrPmIr at its relaxed geometry.

For the total energy, the calculation gives -5.424 eV per atom. The calculation puts the excess energy over the best structure of this formula in the dataset at 0 meV per atom. The calculation puts the size of the total moment at 0.001 Bohr magnetons per cell.

It has space group F-43m (No. 216), with a = 7.085 Å, b = 7.085 Å, c = 7.085 Å, α = 90.00°, β = 90.00° and γ = 90.00°. The asymmetric unit holds Sr at (0.000, 0.000, 0.000), Pm at (0.000, 0.000, 0.500) and Ir at (0.250, 0.250, 0.250).

***

Entry 7:
## PaGePO (GGA-PBE)

Data for crystalline PaGePO at its relaxed geometry.

For the total energy, the calculation gives -6.985 eV per atom. The calculation puts the excess energy over the best structure of this formula in the dataset at 118 meV per atom. The calculation puts the size of the total moment at 2.028 Bohr magnetons per cell.

It has space group Pmc2_1 (No. 26), with a = 3.906 Å, b = 7.081 Å, c = 5.940 Å, α = 90.00°, β = 90.00° and γ = 90.00°. The asymmetric unit holds Pa at (0.000, 0.207, 0.000), Ge at (0.500, 0.437, 0.489), P at (0.000, 0.231, 0.501) and O at (0.500, 0.091, 0.963).

***

Entry 8:
## CoAgHg2 (GGA-PBE)

Data for crystalline CoAgHg2 at its relaxed geometry.

For the total energy, the calculation gives -2.163 eV per atom. The calculation puts the size of the total moment at 6.307 Bohr magnetons per cell. The formation energy comes out at 0.469 eV per atom.

It has space group F-43m (No. 216), with a = 6.639 Å, b = 6.639 Å, c = 6.639 Å, α = 90.00°, β = 90.00° and γ = 90.00°. The asymmetric unit holds Co at (0.000, 0.000, 0.000), Ag at (0.250, 0.250, 0.250), Hg at (0.000, 0.000, 0.500) and Hg at (0.250, 0.250, 0.750).